1.
This record from Alexandria via LeMat-Bulk describes a geometry-optimized BaInTc structure. The functional is PBE.

Values from the calculation:
Relative energy among the computed polymorphs in kJ per mole of atoms: 30.1
E_form in meV per atom: 739
Electronic total energy in eV per atom: -4.270
Total magnetization in μB per formula unit: 0.4

a b c (Å): 3.653 3.653 7.164
angles (deg): 90.00 90.00 120.00
Element x y z (fractional)
Ba 0.000 0.000 0.000
In 0.667 0.333 0.425
Tc 0.333 0.667 0.672

2.
This record from Alexandria via LeMat-Bulk describes a geometry-optimized Ba2InTc structure. The functional is PBE.

Values from the calculation:
Relative energy among the computed polymorphs in kJ per mole of atoms: 38.1
E_form in meV per atom: 695
Electronic total energy in eV per atom: -3.543
Total magnetization in μB per formula unit: 2.0

a b c (Å): 4.322 4.322 10.112
angles (deg): 96.49 96.49 48.40
Element x y z (fractional)
Ba 0.244 0.244 0.216
Ba 0.756 0.756 0.784
In 0.000 0.000 0.500
Tc 0.500 0.500 0.000

Copy entry 1 word for word.
This record from Alexandria via LeMat-Bulk describes a geometry-optimized BaInTc structure. The functional is PBE.

Values from the calculation:
Relative energy among the computed polymorphs in kJ per mole of atoms: 30.1
E_form in meV per atom: 739
Electronic total energy in eV per atom: -4.270
Total magnetization in μB per formula unit: 0.4

a b c (Å): 3.653 3.653 7.164
angles (deg): 90.00 90.00 120.00
Element x y z (fractional)
Ba 0.000 0.000 0.000
In 0.667 0.333 0.425
Tc 0.333 0.667 0.672